The following is a DFT calculation (GGA-PBE) of a relaxed structure of K2TmThTe4.

Values from the calculation:
The calculation puts the total magnetization at 0.00 μB per atom. As for the uncorrected energy: -4.5912 eV per atom. As for the symmetry: No. 10. As for the uncorrected formation energy: -1.26 eV/atom.

abc: 4.449 7.771 8.727
angles: 106.97 90.00 90.00
Atoms (fractional coordinates):
K 0.500 0.000 0.500
K 0.000 0.500 0.500
Tm 0.000 0.000 0.000
Th 0.500 0.500 0.000
Te 0.500 0.229 0.210
Te 0.500 0.771 0.790
Te 0.000 0.252 0.783
Te 0.000 0.748 0.217

=====

The following is a DFT calculation (GGA-PBE) of a relaxed structure of HgP2SO.

Values from the calculation:
The calculation puts the total magnetization at 0.00 μB per atom. As for the uncorrected energy: -3.5194 eV per atom. As for the symmetry: No. 123. As for the uncorrected formation energy: 0.52 eV/atom. As for the energy above the lowest structure with this stoichiometry: 16 meV per atom.

abc: 3.817 3.817 7.099
angles: 90.00 90.00 90.00
Atoms (fractional coordinates):
P 0.000 0.500 0.000
P 0.500 0.000 0.000
S 0.000 0.000 0.500
Hg 0.500 0.500 0.500
O 0.000 0.000 0.000

=====

The following is a DFT calculation (GGA-PBE) of a relaxed structure of LaPr2TmHg4.

Values from the calculation:
The calculation puts the total magnetization at 0.18 μB per atom. As for the uncorrected energy: -2.9843 eV per atom. As for the symmetry: No. 166. For the formation energy, the calculation gives -464 meV/atom.

abc: 5.398 5.398 9.453
angles: 73.41 73.41 60.00
Atoms (fractional coordinates):
La 0.000 0.000 0.000
Pr 0.751 0.751 0.747
Pr 0.249 0.249 0.253
Tm 0.500 0.500 0.500
Hg 0.379 0.379 0.862
Hg 0.872 0.872 0.384
Hg 0.128 0.128 0.616
Hg 0.621 0.621 0.138